## w
First-principles (PBE-GGA) data for a relaxed structure of Pr5SmDy2, as listed in Alexandria.

```
16
Lattice="-3.8730 -0.3804 3.4171 -4.1525 -3.2435 -5.0676 5.0255 -13.0615 4.2418" Properties=species:S:1:pos:R:3 pbc="T T T"
Pr 0.0000 0.0000 0.0000
Pr 0.4365 -8.1525 -0.4129
Pr 1.6962 -11.4280 0.6502
Pr -0.8232 -4.8770 -1.4759
Pr -2.8919 -6.5183 -4.0034
Pr 3.7649 -9.7867 3.1776
Pr 1.4219 -12.4403 4.1512
Pr -4.4219 -4.2451 -1.5598
Pr -1.0835 -5.9038 2.0393
Pr -1.9165 -10.7816 0.5521
Sm 2.5128 -6.5307 2.1209
Sm -2.0763 -1.6217 -2.5338
Dy 0.1642 -9.1543 3.0915
Dy -3.1642 -7.5310 -0.5002
Dy -2.3513 -2.6258 0.9672
Dy -0.6486 -14.0596 1.6241
```

Results
D(E_F) in states/eV/cell: 23.5
Theoretical density in Mg/m³: 7.1
Symmetry: Pbam (55)


## x
First-principles (PBE-GGA) data for a relaxed structure of Pr5SmDy2, as listed in Alexandria.

```
16
Lattice="-4.6123 6.7213 6.0352 -0.6883 -4.6740 4.6793 10.2237 2.4518 -3.4400" Properties=species:S:1:pos:R:3 pbc="T T T"
Pr 5.6581 3.2266 2.3614
Pr -4.8648 2.8315 9.1996
Pr -0.4358 -0.7841 1.5149
Pr 1.5743 4.5231 6.1667
Pr 3.3488 -0.0240 1.1078
Pr 2.7184 5.6944 2.7804
Pr 2.2047 -1.1952 4.4941
Pr -0.7350 1.2725 4.9131
Pr 6.1965 -0.3964 3.5462
Pr -1.2733 4.8955 3.7283
Sm 5.1119 1.2259 -1.7200
Sm 2.4616 2.2496 3.6373
Dy 7.4559 1.0231 0.3947
Dy 4.8583 1.9699 5.6829
Dy -2.5328 3.4760 6.8798
Dy 0.0648 2.5292 1.5916
```

Results
D(E_F) in states/eV/cell: 26.6
Theoretical density in Mg/m³: 7.0
Symmetry: C2/c (15)


Decreasing stability: w, x